# 1
# Ce2TmTlCo

Ce2TmTlCo after structural relaxation (PBE, the Alexandria database).

Lattice parameters (Å, degrees): 4.941 4.941 5.426 90.00 90.00 90.00
Space group P4/mmm (No. 123)
Inequivalent atoms, fractional coordinates:
Ce  0.000  0.500  0.000
Tm  0.000  0.000  0.500
Tl  0.500  0.500  0.500
Co  0.000  0.000  0.000

Output
Energy of formation in eV per atom: -0.246

***

# 2
# Mg5H5N2

Mg5H5N2 after structural relaxation (PBE, the Alexandria database).

Lattice parameters (Å, degrees): 3.711 5.321 7.220 72.59 83.32 79.55
Space group P-1 (No. 2)
Inequivalent atoms, fractional coordinates:
Mg  0.000  0.000  0.000
Mg  0.138  0.766  0.472
Mg  0.427  0.300  0.197
H  0.294  0.433  0.425
H  0.473  0.705  0.079
H  0.500  0.000  0.500
N  0.039  0.886  0.743

Output
Energy in eV/atom: -3.642

***

# 3
# Er2IrCl

Er2IrCl after structural relaxation (PBE, the Alexandria database).

Lattice parameters (Å, degrees): 3.346 3.346 7.996 90.00 90.00 90.00
Space group P4/mmm (No. 123)
Inequivalent atoms, fractional coordinates:
Er  0.000  0.000  0.210
Ir  0.500  0.500  0.000
Cl  0.500  0.500  0.500

Output
Offset from the most stable computed form in eV/atom: 0.160
Formation energy without anion corrections in eV/atom: -1.0486

***

# 4
# Sc2NCl

Sc2NCl after structural relaxation (PBE, the Alexandria database).

Lattice parameters (Å, degrees): 5.454 5.454 10.203 90.00 90.00 90.00
Space group I-42d (No. 122)
Inequivalent atoms, fractional coordinates:
Sc  0.175  0.250  0.125
N  0.000  0.000  0.000
Cl  0.000  0.000  0.500

Output
Formation energy without anion corrections in eV/atom: -1.3229

***

# 5
# Na2NbPd

Na2NbPd after structural relaxation (PBE, the Alexandria database).

Lattice parameters (Å, degrees): 8.370 8.370 5.282 90.00 90.00 90.00
Space group I-42d (No. 122)
Inequivalent atoms, fractional coordinates:
Na  0.208  0.250  0.125
Nb  0.000  0.000  0.500
Pd  0.000  0.000  0.000

Output
Offset from the most stable computed form in eV/atom: 0.000
Energy of formation in eV per atom: 0.872

***

# 6
# Y2HoRh3

Y2HoRh3 after structural relaxation (PBE, the Alexandria database).

Lattice parameters (Å, degrees): 4.8513 4.8513 11.8517 90.00 90.00 120.00
Space group P-3m1 (No. 164)
Inequivalent atoms, fractional coordinates:
Y  0.0000  0.0000  0.0000
Y  0.0000  0.0000  0.5000
Y  0.3333  0.6667  0.1673
Ho  0.3333  0.6667  0.6663
Rh  0.0000  0.0000  0.2514
Rh  0.3333  0.6667  0.4170
Rh  0.3333  0.6667  0.9153

Output
Offset from the most stable computed form in eV/atom: 0.000
Energy of formation in eV per atom: -0.865

***

no.,magnetic moment (Bohr magnetons per cell),volume (Å³/cell)
1,0.5,132.5
2,1.0,133.5
3,0.0,89.5
4,0.0,303.5
5,10.4,370.1
6,0.0,241.6